# KHfTl3 GGA-PBE relaxed
# DFT total energy	-2.309	eV per atom
# theoretical density	7483	kg/m3
# space group	Pm-3m
data_KHfTl3
_cell_length_a 5.691
_cell_length_b 5.691
_cell_length_c 5.691
_cell_angle_alpha 90.00
_cell_angle_beta 90.00
_cell_angle_gamma 90.00
_space_group_name_H-M_alt 'P 1'
_space_group_IT_number 1
loop_
_space_group_symop_operation_xyz
'x,y,z'
loop_
_atom_site_label
_atom_site_type_symbol
_atom_site_fract_x
_atom_site_fract_y
_atom_site_fract_z
Hf1 Hf 0.500 0.500 0.500
Tl1 Tl 0.500 0.000 0.000
Tl2 Tl 0.000 0.000 0.500
Tl3 Tl 0.000 0.500 0.000
K1 K 0.000 0.000 0.000

=====

# Np2GaF8 GGA-PBE relaxed
# theoretical density	6750	kg/m3
# uncorrected formation energy	-3.116	eV per atom
# space group	C2/m
data_Np2GaF8
_cell_length_a 4.102
_cell_length_b 6.953
_cell_length_c 6.953
_cell_angle_alpha 64.62
_cell_angle_beta 104.46
_cell_angle_gamma 104.46
_space_group_name_H-M_alt 'P 1'
_space_group_IT_number 1
loop_
_space_group_symop_operation_xyz
'x,y,z'
loop_
_atom_site_label
_atom_site_type_symbol
_atom_site_fract_x
_atom_site_fract_y
_atom_site_fract_z
F1 F 0.571 0.656 0.061
F2 F 0.994 0.773 0.773
F3 F 0.006 0.227 0.227
F4 F 0.803 0.557 0.557
F5 F 0.571 0.061 0.656
F6 F 0.429 0.939 0.344
F7 F 0.197 0.443 0.443
F8 F 0.429 0.344 0.939
Np1 Np 0.594 0.328 0.328
Np2 Np 0.406 0.672 0.672
Ga1 Ga 0.000 0.000 0.000

=====

How do the records compare in total magnetic moment? In the order shown, they have 0.000 7.000 μB per cell.